Record 1
Crystalline KNaP2O at its relaxed geometry, computed with PBE-GGA.

Geometry as extended XYZ:
```
5
Lattice="-4.546 1.280 1.943 0.834 -3.085 3.983 1.899 3.378 2.218" Properties=species:S:1:pos:R:3 pbc="T T T"
O 0.949 1.689 1.109
Na 0.000 0.000 0.000
P -2.273 0.640 0.971
P 0.417 -1.542 1.992
K -0.907 0.786 4.072
```

Summary:
- Energy relative to the elements, uncorrected: 725.8 meV per atom
- Polymorph energy (0 for the lowest one): 0 meV per atom



Record 2
Crystalline K2Ga2P at its relaxed geometry, computed with PBE-GGA.

Geometry as extended XYZ:
```
10
Lattice="-1.313 3.909 -5.850 -4.990 -3.599 3.094 0.825 6.004 3.827" Properties=species:S:1:pos:R:3 pbc="T T T"
K -2.920 3.840 3.807
K -1.972 4.953 -0.041
K -3.508 1.361 1.111
K -2.560 2.474 -2.737
P -0.468 7.736 -1.968
P -0.021 2.178 -0.056
Ga -5.191 0.419 -1.793
Ga -3.808 0.531 4.448
Ga -1.672 5.783 -3.377
Ga -0.288 5.895 2.863
```

Summary:
- Formation enthalpy at 0 K: -3.25 kcal/mol of atoms
- Polymorph energy (0 for the lowest one): 0 meV per atom



Record 3
Crystalline K4Pr3PbO8 at its relaxed geometry, computed with PBE-GGA.

Geometry as extended XYZ:
```
16
Lattice="-0.712 -2.715 6.761 -6.696 -3.069 -1.938 5.909 -1.638 -3.999" Properties=species:S:1:pos:R:3 pbc="T T T"
O 0.500 -5.698 -0.278
O -2.350 -3.066 4.442
O 0.569 -3.875 2.467
O 0.851 -4.357 -3.618
O 0.926 -2.565 -0.932
O -2.068 -3.547 -1.642
O -2.425 -4.858 1.757
O -1.999 -1.724 1.102
K -0.356 -1.357 3.380
K 2.598 -2.177 1.381
K 0.000 0.000 0.000
K 2.954 -0.819 -1.999
Pb -3.348 -1.535 -0.969
Pr -0.394 -2.354 -2.968
Pr -3.704 -2.892 2.411
Pr -0.750 -3.711 0.412
```

Summary:
- Energy relative to the elements, uncorrected: -2209.2 meV per atom



Record 4
Crystalline CaH6C2N4O4 at its relaxed geometry, computed with PBE-GGA.

Geometry as extended XYZ:
```
68
Lattice="8.385 0.005 0.000 -3.866 8.502 0.000 0.000 0.000 9.694" Properties=species:S:1:pos:R:3 pbc="T T T"
H 4.454 5.150 3.677
H 3.833 7.647 6.504
H 2.588 4.505 2.478
H 0.065 3.358 6.017
H -0.609 4.191 9.129
H 3.309 4.834 4.847
H 2.631 0.447 4.515
H 4.521 0.253 2.368
H -1.868 7.609 8.523
H 5.128 4.317 0.564
H 6.387 0.899 1.170
H 5.766 3.396 8.036
H 5.242 0.582 9.693
H -0.002 8.254 7.325
H -2.541 8.442 5.411
H 1.888 8.061 5.179
H 1.210 3.674 4.847
H 0.686 0.861 3.190
H 3.821 3.810 9.361
H -0.723 7.925 0.000
H -1.247 5.112 1.657
H 0.698 4.698 0.332
H 7.060 0.066 4.283
H 1.931 4.003 7.215
Ca 3.517 6.915 9.421
Ca 1.002 1.592 0.272
Ca -0.931 5.844 4.575
Ca 5.450 2.664 5.119
O 2.331 2.436 8.197
O 2.726 2.202 1.610
O 1.793 6.306 8.083
O -2.377 6.318 2.686
O -1.396 3.599 3.542
O 2.188 6.072 1.496
O 6.896 2.190 7.007
O 3.726 2.055 6.457
O -3.329 7.850 1.305
O -0.444 2.067 2.161
O 5.915 4.909 6.152
O 0.398 6.687 6.343
O 0.793 6.453 3.237
O 7.848 0.657 8.389
O 4.963 6.441 7.533
O 4.121 1.821 3.351
C 3.320 2.566 2.675
C -2.833 7.483 2.435
C 7.352 1.024 7.258
C 1.387 6.817 2.172
C 5.419 5.276 7.282
C -0.900 3.232 2.411
C 3.132 1.690 7.522
C 1.199 5.942 7.018
N 6.515 0.250 5.130
N -1.996 8.257 4.564
N 0.635 4.095 5.583
N 3.036 3.841 3.132
N 3.416 0.416 7.979
N -0.912 4.174 1.405
N 4.582 4.502 9.411
N 1.483 4.667 6.562
N 5.817 0.161 0.736
N -1.298 8.346 8.957
N -0.063 4.006 0.283
N 5.431 4.334 8.289
N 1.103 8.092 1.715
N 3.884 4.412 4.111
N -2.845 8.425 3.442
N 7.364 0.082 6.251
```



Record 5
Crystalline MnGa2Co2 at its relaxed geometry, computed with PBE-GGA.

Geometry as extended XYZ:
```
10
Lattice="6.796 0.000 0.000 0.000 6.796 0.000 0.000 0.000 2.663" Properties=species:S:1:pos:R:3 pbc="T T T"
Mn 0.000 0.000 0.000
Mn 3.398 3.398 0.000
Ga 5.853 4.340 0.000
Ga 4.340 0.943 0.000
Ga 0.943 2.455 0.000
Ga 2.455 5.853 0.000
Co 2.298 1.100 1.331
Co 4.497 5.696 1.331
Co 1.100 4.497 1.331
Co 5.696 2.298 1.331
```

Summary:
- Formation enthalpy at 0 K: 2.11 kcal/mol of atoms
- Polymorph energy (0 for the lowest one): 194 meV per atom



Record 6
Crystalline Y3P2 at its relaxed geometry, computed with PBE-GGA.

Geometry as extended XYZ:
```
10
Lattice="-5.382 -2.309 3.446 -0.834 -6.681 0.920 1.324 -2.659 6.984" Properties=species:S:1:pos:R:3 pbc="T T T"
Y -1.350 -3.483 6.768
Y -4.848 -4.467 5.159
Y -0.045 -7.181 6.192
Y -1.495 -5.094 3.138
Y -3.397 -6.555 8.212
Y -3.542 -8.166 4.583
P -4.096 -5.988 2.990
P -0.797 -5.660 8.361
P -4.566 -8.826 7.052
P -0.326 -2.823 4.298
```

Summary:
- Formation enthalpy at 0 K: -27.86 kcal/mol of atoms
- Polymorph energy (0 for the lowest one): 52 meV per atom



Record 7
Crystalline NdUPd14 at its relaxed geometry, computed with PBE-GGA.

Geometry as extended XYZ:
```
16
Lattice="5.856 -0.012 0.000 0.012 5.856 0.000 0.000 0.000 7.787" Properties=species:S:1:pos:R:3 pbc="T T T"
Pd 3.713 3.698 1.912
Pd 3.713 3.698 5.875
Pd 0.688 0.685 5.875
Pd 3.708 0.678 5.876
Pd 0.694 3.705 1.911
Pd 5.129 2.185 0.000
Pd 2.201 2.191 0.000
Pd 5.135 5.113 0.000
Pd 2.207 5.119 0.000
Pd 3.708 0.678 1.911
Pd 5.129 2.185 3.894
Pd 0.694 3.705 5.876
Pd 2.207 5.119 3.894
Pd 0.688 0.685 1.912
U 5.135 5.113 3.894
Nd 2.201 2.191 3.894
```

Summary:
- Formation enthalpy at 0 K: -8.13 kcal/mol of atoms



Record 8
Crystalline NbRuPt2 at its relaxed geometry, computed with PBE-GGA.

Geometry as extended XYZ:
```
8
Lattice="-3.858 -1.025 -0.370 1.083 -4.917 2.324 -1.566 4.425 4.071" Properties=species:S:1:pos:R:3 pbc="T T T"
Nb -1.178 -0.992 4.171
Nb -3.163 -0.525 1.854
Pt -0.703 -1.806 1.473
Pt -4.182 2.754 3.407
Pt -3.638 0.289 4.552
Pt -0.158 -4.270 2.619
Ru -2.627 -2.988 3.092
Ru -1.713 1.471 2.933
```

Summary:
- Formation enthalpy at 0 K: -8.99 kcal/mol of atoms



Record 9
Crystalline Pa2ReAu at its relaxed geometry, computed with PBE-GGA.

Geometry as extended XYZ:
```
4
Lattice="-1.815 -2.374 1.189 1.777 -2.157 -1.592 5.141 -0.630 6.588" Properties=species:S:1:pos:R:3 pbc="T T T"
Pa 3.992 -0.489 5.116
Pa 1.149 -0.141 1.472
Re -0.019 -2.265 -0.202
Au 2.551 -2.580 3.093
```

Summary:
- Formation enthalpy at 0 K: -4.20 kcal/mol of atoms
- Polymorph energy (0 for the lowest one): 0 meV per atom



Record 10
Crystalline Pr2Cd6Ag at its relaxed geometry, computed with PBE-GGA.

Geometry as extended XYZ:
```
9
Lattice="6.149 -0.029 -0.017 0.031 6.480 0.007 0.031 3.234 5.615" Properties=species:S:1:pos:R:3 pbc="T T T"
Cd 2.011 6.469 2.000
Cd 2.011 4.957 4.613
Cd 4.201 4.729 0.993
Cd 4.187 1.711 0.990
Cd 2.025 7.975 4.615
Cd 4.201 3.217 3.605
Ag 0.000 0.000 0.000
Pr 5.145 6.453 3.734
Pr 1.066 3.234 1.871
```

Summary:
- Formation enthalpy at 0 K: -5.59 kcal/mol of atoms



Record 11
Crystalline Cr2CuSbN at its relaxed geometry, computed with PBE-GGA.

Geometry as extended XYZ:
```
5
Lattice="3.902 0.000 0.000 0.000 4.821 0.000 0.000 0.000 3.902" Properties=species:S:1:pos:R:3 pbc="T T T"
N 0.000 0.000 0.000
Sb 0.000 2.410 0.000
Cu 1.951 2.410 1.951
Cr 0.000 0.000 1.951
Cr 1.951 0.000 0.000
```

Summary:
- Energy relative to the elements, uncorrected: 294.2 meV per atom



Record 12
Crystalline K3CaCd at its relaxed geometry, computed with PBE-GGA.

Geometry as extended XYZ:
```
5
Lattice="-3.281 0.465 -6.917 2.783 -6.920 -1.786 -6.349 -3.274 2.792" Properties=species:S:1:pos:R:3 pbc="T T T"
K -1.640 0.233 -3.458
K 1.391 -3.460 -0.893
K -3.175 -1.637 1.396
Ca 0.000 0.000 0.000
Cd -3.424 -4.864 -2.956
```

Summary:
- Formation enthalpy at 0 K: 11.30 kcal/mol of atoms
- Polymorph energy (0 for the lowest one): 271 meV per atom



Number 1: total DFT energy (no corrections) -2.9131 eV per atom. Number 2: total DFT energy (no corrections) -2.8726 eV per atom. Number 3: total DFT energy (no corrections) -6.0906 eV per atom. Number 4: total DFT energy (no corrections) -6.3678 eV per atom. Number 5: total DFT energy (no corrections) -5.7956 eV per atom. Number 6: total DFT energy (no corrections) -7.2507 eV per atom. Number 7: total DFT energy (no corrections) -5.8997 eV per atom. Number 8: total DFT energy (no corrections) -8.2465 eV per atom. Number 9: total DFT energy (no corrections) -8.8615 eV per atom. Number 10: total DFT energy (no corrections) -2.2314 eV per atom. Number 11: total DFT energy (no corrections) -6.8639 eV per atom. Number 12: total DFT energy (no corrections) -0.7520 eV per atom.